First-principles (PBE-GGA) data for a relaxed structure of TmCd4Sn, as listed in Alexandria.

```
TmCd4Sn
1.0
-0.691 2.794 5.160
1.606 -2.649 5.032
4.729 1.926 2.974
Sn Tm Cd
1 1 4
Cartesian
0.000 0.000 0.000
1.411 0.518 3.291
1.165 0.332 6.741
3.526 1.294 8.226
2.724 2.616 5.714
3.871 -0.101 5.650
```

formation enthalpy at 0 K	-0.07	eV per atom
DOS at the Fermi energy	0.47	states/eV/atom
space-group type	F-43m, No. 216
DFT total energy	-2.0967	eV/atom
crystal system	cubic

***

First-principles (PBE-GGA) data for a relaxed structure of Ru3WC, as listed in Alexandria.

```
Ru3WC
1.0
-1.206 0.873 -3.751
0.179 -3.914 -0.969
-3.847 -0.456 1.131
Ru W C
3 1 1
Cartesian
-0.603 0.437 -1.875
0.089 -1.957 -0.484
-1.924 -0.228 0.566
-2.437 -1.748 -1.794
0.000 0.000 0.000
```

polymorph energy (0 for the lowest one)	0.0	meV/atom
formation enthalpy at 0 K	0.32	eV per atom
DOS at the Fermi energy	1.50	states/eV/atom
space-group type	Pm-3m, No. 221
DFT total energy	-9.6832	eV/atom
crystal system	cubic